# 1
# NaLiTlF3

Crystalline NaLiTlF3 at its relaxed geometry (PBE-GGA, the Alexandria database).

extended XYZ file:
```
12
Lattice="4.337 0.000 0.000 -2.169 6.129 -0.184 0.000 -2.001 7.574" Properties=species:S:1:pos:R:3 pbc="T T T"
F 2.169 2.507 5.389
F 2.169 -0.202 2.356
F 0.000 0.110 4.689
F 0.000 1.620 2.001
F 0.000 4.329 5.034
F 2.169 4.017 2.701
Li 0.000 -0.167 2.717
Li 2.169 4.294 4.672
Na 2.169 0.442 4.555
Na 0.000 3.685 2.835
Tl 0.000 2.404 6.623
Tl 2.169 1.723 0.767
```

Output
- M_tot: 0.00 μB/cell
- Density of states at the Fermi level: 0.000 states/eV/atom
- Symmetry: No. 12
- Calculated density: 4844 kg/m3
- Total energy: -4.279 eV per atom

# 2
# Na2LiTlF

Crystalline Na2LiTlF at its relaxed geometry (PBE-GGA, the Alexandria database).

extended XYZ file:
```
5
Lattice="4.853 0.000 0.000 0.000 4.853 0.000 0.000 0.000 4.315" Properties=species:S:1:pos:R:3 pbc="T T T"
Tl 2.426 2.426 2.158
Na 0.000 2.426 0.000
Na 2.426 0.000 0.000
Li 0.000 0.000 2.158
F 0.000 0.000 0.000
```

Output
- M_tot: 0.00 μB/cell
- Density of states at the Fermi level: 0.382 states/eV/atom
- Symmetry: No. 123
- Calculated density: 4515 kg/m3
- Total energy: -2.819 eV per atom

# 3
# Na2LiTlF8

Crystalline Na2LiTlF8 at its relaxed geometry (PBE-GGA, the Alexandria database).

extended XYZ file:
```
12
Lattice="4.248 -0.025 0.148 0.019 5.498 0.563 0.262 0.739 6.943" Properties=species:S:1:pos:R:3 pbc="T T T"
F 0.521 1.796 1.616
F 4.008 4.415 6.037
F 4.135 4.526 2.409
F 2.632 1.640 3.502
F 1.758 0.619 0.551
F 1.897 4.572 4.152
F 2.771 5.592 7.103
F 0.394 1.686 5.245
Na 2.424 2.796 5.480
Na 2.105 3.416 2.174
Tl 0.131 0.369 3.471
Li 0.000 0.000 0.000
```

Output
- M_tot: 0.00 μB/cell
- Symmetry: No. 2
- Calculated density: 4243 kg/m3
- Total energy: -3.809 eV per atom

> Number 2 is which compound?

Na2LiTlF

> Which of these has the highest calculated density?

NaLiTlF3